Compound: Ta2WBr
Source: Alexandria
Functional: GGA-PBEsol
Structure: optimized geometry

Cell: 3.161 4.489 4.829 Å, 90.00 90.00 90.00°
Space group Pmmm (No. 47)
Inequivalent atoms, fractional coordinates:
Ta (0.000, 0.000, 0.000) x1
Ta (0.500, 0.000, 0.500) x1
W (0.000, 0.500, 0.500) x1
Br (0.500, 0.500, 0.000) x1

Polymorph energy (0 for the lowest one)   0.2406 eV/atom


Compound: Zr3PbAu
Source: Alexandria
Functional: GGA-PBEsol
Structure: optimized geometry

Cell: 5.108 5.108 5.108 Å, 90.00 90.00 90.00°
Space group Pm-3m (No. 221)
Inequivalent atoms, fractional coordinates:
Zr (0.000, 0.000, 0.500) x3
Pb (0.500, 0.500, 0.500) x1
Au (0.000, 0.000, 0.000) x1

Formation enthalpy at 0 K   0.365 eV/atom


Compound: V3H6O10
Source: Alexandria
Functional: GGA-PBEsol
Structure: optimized geometry

Cell: 6.055 8.735 8.804 Å, 88.59 82.74 77.90°
Space group P1 (No. 1)
Inequivalent atoms, fractional coordinates:
V (0.000, 0.000, 0.000) x1
V (0.001, 0.502, 0.500) x1
V (0.028, 0.638, 0.131) x1
V (0.939, 0.875, 0.648) x1
V (0.960, 0.155, 0.358) x1
V (0.992, 0.378, 0.870) x1
H (0.311, 0.668, 0.346) x1
H (0.316, 0.244, 0.639) x1
H (0.345, 0.735, 0.911) x1
H (0.518, 0.064, 0.650) x1
H (0.538, 0.645, 0.443) x1
H (0.546, 0.782, 0.771) x1
H (0.551, 0.200, 0.499) x1
H (0.563, 0.713, 0.268) x1
H (0.570, 0.174, 0.073) x1
H (0.572, 0.276, 0.224) x1
H (0.572, 0.592, 0.854) x1
H (0.580, 0.358, 0.039) x1
O (0.051, 0.687, 0.589) x1
O (0.064, 0.188, 0.918) x1
O (0.067, 0.920, 0.798) x1
O (0.074, 0.071, 0.187) x1
O (0.089, 0.301, 0.404) x1
O (0.103, 0.392, 0.679) x1
O (0.115, 0.488, 0.991) x1
O (0.123, 0.583, 0.309) x1
O (0.145, 0.793, 0.058) x1
O (0.445, 0.717, 0.368) x1
O (0.464, 0.693, 0.822) x1
O (0.475, 0.178, 0.612) x1
O (0.507, 0.286, 0.116) x1
O (0.653, 0.900, 0.697) x1
O (0.676, 0.229, 0.358) x1
O (0.709, 0.440, 0.904) x1
O (0.726, 0.021, 0.030) x1
O (0.726, 0.537, 0.515) x1
O (0.750, 0.687, 0.152) x1
O (0.985, 0.009, 0.500) x1

Polymorph energy (0 for the lowest one)   0.0000 eV/atom


Compound: Fe3HgO
Source: Alexandria
Functional: GGA-PBEsol
Structure: optimized geometry

Cell: 3.877 3.877 3.877 Å, 90.00 90.00 90.00°
Space group Pm-3m (No. 221)
Inequivalent atoms, fractional coordinates:
Fe (0.000, 0.000, 0.500) x3
Hg (0.500, 0.500, 0.500) x1
O (0.000, 0.000, 0.000) x1

E_tot   -6.66 eV/atom